Below is Rb2CoI after structural relaxation, with properties calculated at the PBE level.

Lattice parameters (Å, degrees): 9.462 9.462 10.039 90.00 90.00 90.00
Space group I-42d (No. 122)
Asymmetric unit:
Rb 0.247 0.250 0.125 x8
Co 0.000 0.000 0.000 x4
I 0.000 0.000 0.500 x4

Calculated values
* E_tot: -40.41 eV per cell
* offset from the most stable computed form: 0.071 eV per atom
* total moment: 2.00 μB/f.u.
* uncorrected formation energy: 0.122 eV/atom